No. 1
VASP calculation (PBE-GGA) on a relaxed MgCrRu crystal.

Cell: 4.207 4.207 2.798 Å, 90.00 90.00 120.00°
Atoms (fractional coordinates):
Mg (0.000, 0.000, 0.000)
Cr (0.667, 0.333, 0.600)
Ru (0.333, 0.667, 0.409)

ΔE to the lowest computed polymorph in meV per atom: 151.6
Space group: P3m1



No. 2
VASP calculation (PBE-GGA) on a relaxed MgCrRu2 crystal.

Cell: 2.932 2.932 6.667 Å, 90.00 90.00 90.00°
Atoms (fractional coordinates):
Mg (0.000, 0.000, 0.000)
Cr (0.500, 0.500, 0.727)
Ru (0.000, 0.000, 0.527)
Ru (0.500, 0.500, 0.260)

Space group: P4mm



No. 3
VASP calculation (PBE-GGA) on a relaxed MgCr2Ru crystal.

Cell: 3.005 3.005 6.336 Å, 90.00 90.00 90.00°
Atoms (fractional coordinates):
Mg (0.000, 0.000, 0.000)
Cr (0.000, 0.000, 0.497)
Cr (0.500, 0.500, 0.704)
Ru (0.500, 0.500, 0.269)

Space group: P4mm



No. 4
VASP calculation (PBE-GGA) on a relaxed MgCrRu2 crystal.

Cell: 5.072 5.072 5.072 Å, 145.33 130.67 61.70°
Atoms (fractional coordinates):
Mg (0.000, 0.000, 0.000)
Cr (0.742, 0.242, 0.500)
Ru (0.259, 0.759, 0.500)
Ru (0.515, 0.515, 0.000)

Space group: Imm2



What are the ΔH_f (0 K) values for these records? In order: 0.677 1.222 0.594 0.589 eV per formula unit.
What are the final energy values for these records? In order: -19.82 -28.55 -29.52 -29.18 eV per cell.